# In2CuOs | the Alexandria database | GGA-PBE | relaxed
# energy of formation	794.3	meV per atom
# M_tot	0.000	μB/atom
# VASP energy	-4.406	eV/atom
# calculated volume	312	Å³ per cell
data_In2CuOs
_symmetry_space_group_name_H-M 'I -4 2 d'
_symmetry_Int_Tables_number 122
_symmetry_space_group_name_Hall 'I -4 2bw'
_cell_length_a 4.106
_cell_length_b 4.106
_cell_length_c 18.491
_cell_angle_alpha 90.00
_cell_angle_beta 90.00
_cell_angle_gamma 90.00
loop_
_atom_site_label
_atom_site_type_symbol
_atom_site_fract_x
_atom_site_fract_y
_atom_site_fract_z
In1 In 0.247 0.250 0.125
Cu1 Cu 0.000 0.000 0.500
Os1 Os 0.000 0.000 0.000

=====

# Li4Pr2Tl3 | the Alexandria database | GGA-PBE | relaxed
# energy of formation	-211.6	meV per atom
# M_tot	0.000	μB/atom
# VASP energy	-2.913	eV/atom
# calculated volume	847	Å³ per cell
data_Li4Pr2Tl3
_symmetry_space_group_name_H-M 'C m c e'
_symmetry_Int_Tables_number 64
_symmetry_space_group_name_Hall '-C 2ac 2'
_cell_length_a 6.885
_cell_length_b 16.728
_cell_length_c 7.355
_cell_angle_alpha 90.00
_cell_angle_beta 90.00
_cell_angle_gamma 90.00
loop_
_atom_site_label
_atom_site_type_symbol
_atom_site_fract_x
_atom_site_fract_y
_atom_site_fract_z
Li1 Li 0.000 0.165 0.000
Li2 Li 0.250 0.052 0.250
Pr1 Pr 0.000 0.116 0.571
Tl1 Tl 0.000 0.000 0.000
Tl2 Tl 0.250 0.235 0.250